An optimized crystal structure of NaLi2CuSn. Source: Alexandria via LeMat-Bulk, functional PBE.

Cell and atoms, written as POSCAR:
```
NaLi2CuSn
1.0
4.946 0.000 0.000
0.000 4.946 0.000
0.000 0.000 4.807
Na Li Cu Sn
1 2 1 1
Direct
0.000 0.000 0.000
0.000 0.500 0.500
0.500 0.000 0.500
0.500 0.500 0.500
0.500 0.500 0.000
```

Values from the calculation:
As for the density of states at the Fermi level: 1.35 states/eV/cell. The calculation puts the total moment at 0.00 Bohr magnetons per cell. The calculation puts the energy of formation from the pure elements at -0.05 eV/atom.

=====

An optimized crystal structure of Hg8BiPb6. Source: Alexandria via LeMat-Bulk, functional PBE.

Cell and atoms, written as POSCAR:
```
Hg8BiPb6
1.0
2.982 1.722 14.089
-2.982 1.722 14.089
0.000 -3.443 14.089
Hg Bi Pb
8 1 6
Direct
0.030 0.700 0.365
0.167 0.167 0.167
0.300 0.635 0.970
0.365 0.030 0.700
0.635 0.970 0.300
0.700 0.365 0.030
0.833 0.833 0.833
0.970 0.300 0.635
0.500 0.500 0.500
0.100 0.434 0.767
0.233 0.900 0.566
0.434 0.767 0.100
0.566 0.233 0.900
0.767 0.100 0.434
0.900 0.566 0.233
```

Values from the calculation:
As for the density of states at the Fermi level: 5.55 states/eV/cell. The calculation puts the total moment at 0.00 Bohr magnetons per cell. The calculation puts the energy of formation from the pure elements at 0.03 eV/atom.

=====

An optimized crystal structure of TaTc5. Source: Alexandria via LeMat-Bulk, functional PBE.

Cell and atoms, written as POSCAR:
```
TaTc5
1.0
4.848 0.000 0.000
-2.424 4.198 0.000
0.000 0.000 4.473
Ta Tc
1 5
Direct
0.000 0.000 0.000
0.000 0.660 0.500
0.333 0.667 0.000
0.340 0.340 0.500
0.660 0.000 0.500
0.667 0.333 0.000
```

Values from the calculation:
As for the density of states at the Fermi level: 6.40 states/eV/cell. The calculation puts the total moment at 0.00 Bohr magnetons per cell. The calculation puts the energy of formation from the pure elements at 0.05 eV/atom. The value obtained for the relative energy among the computed polymorphs is 47 meV/atom.

=====

An optimized crystal structure of YNi2BPt. Source: Alexandria via LeMat-Bulk, functional PBE.

Cell and atoms, written as POSCAR:
```
YNi2BPt
1.0
4.099 0.000 0.000
0.000 4.099 0.000
0.000 0.000 4.235
Y Ni B Pt
1 2 1 1
Direct
0.000 0.000 0.000
0.000 0.500 0.500
0.500 0.000 0.500
0.500 0.500 0.500
0.500 0.500 0.000
```

Values from the calculation:
As for the density of states at the Fermi level: 4.16 states/eV/cell. The calculation puts the total moment at 0.00 Bohr magnetons per cell. The calculation puts the energy of formation from the pure elements at -0.53 eV/atom.

=====

An optimized crystal structure of YW2Au. Source: Alexandria via LeMat-Bulk, functional PBE.

Cell and atoms, written as POSCAR:
```
YW2Au
1.0
2.976 0.000 0.000
0.000 5.189 0.000
-0.346 0.000 5.047
Y W Au
1 2 1
Direct
0.000 0.000 0.000
0.375 0.500 0.754
0.625 0.500 0.246
0.500 0.000 0.500
```

Values from the calculation:
As for the density of states at the Fermi level: 3.19 states/eV/cell. The calculation puts the total moment at 0.00 Bohr magnetons per cell. The calculation puts the energy of formation from the pure elements at 0.41 eV/atom. The value obtained for the relative energy among the computed polymorphs is 268 meV/atom.

=====

An optimized crystal structure of CuAg4As. Source: Alexandria via LeMat-Bulk, functional PBE.

Cell and atoms, written as POSCAR:
```
CuAg4As
1.0
0.000 3.848 3.848
3.848 0.000 3.848
3.848 3.848 0.000
Cu Ag As
1 4 1
Direct
0.000 0.000 0.000
0.124 0.625 0.625
0.625 0.124 0.625
0.625 0.625 0.124
0.625 0.625 0.625
0.250 0.250 0.250
```

Values from the calculation:
As for the density of states at the Fermi level: 1.03 states/eV/cell. The calculation puts the total moment at 0.00 Bohr magnetons per cell. The calculation puts the energy of formation from the pure elements at 0.38 eV/atom.

=====

An optimized crystal structure of Sr2TaRh. Source: Alexandria via LeMat-Bulk, functional PBE.

Cell and atoms, written as POSCAR:
```
Sr2TaRh
1.0
-1.855 2.810 5.542
1.855 -2.810 5.542
1.855 2.810 -5.542
Sr Ta Rh
2 1 1
Direct
0.000 0.000 0.000
0.705 0.205 0.500
0.397 0.397 0.000
0.254 0.754 0.500
```

Values from the calculation:
As for the density of states at the Fermi level: 4.72 states/eV/cell. The calculation puts the total moment at 0.00 Bohr magnetons per cell. The calculation puts the energy of formation from the pure elements at 0.26 eV/atom. The value obtained for the relative energy among the computed polymorphs is 157 meV/atom.

=====

An optimized crystal structure of Ba6Hg2IrPd. Source: Alexandria via LeMat-Bulk, functional PBE.

Cell and atoms, written as POSCAR:
```
Ba6Hg2IrPd
1.0
8.067 0.000 0.000
0.000 8.818 0.000
-7.962 0.000 11.924
Ba Hg Ir Pd
12 4 2 2
Direct
0.126 0.026 0.245
0.126 0.474 0.745
0.231 0.694 0.057
0.231 0.806 0.557
0.370 0.181 0.056
0.370 0.319 0.556
0.630 0.681 0.444
0.630 0.819 0.944
0.769 0.194 0.443
0.769 0.306 0.943
0.874 0.526 0.255
0.874 0.974 0.755
0.294 0.102 0.750
0.294 0.398 0.250
0.706 0.602 0.750
0.706 0.898 0.250
0.000 0.000 0.000
0.000 0.500 0.500
0.500 0.000 0.500
0.500 0.500 0.000
```

Values from the calculation:
As for the density of states at the Fermi level: 13.64 states/eV/cell. The calculation puts the total moment at 0.00 Bohr magnetons per cell. The calculation puts the energy of formation from the pure elements at -0.36 eV/atom.

=====

An optimized crystal structure of La3AlPb2. Source: Alexandria via LeMat-Bulk, functional PBE.

Cell and atoms, written as POSCAR:
```
La3AlPb2
1.0
13.123 0.000 0.000
0.000 4.640 0.000
0.000 0.000 12.681
La Al Pb
12 4 8
Direct
0.055 0.250 0.118
0.122 0.750 0.556
0.220 0.250 0.791
0.280 0.750 0.291
0.378 0.250 0.056
0.445 0.750 0.618
0.555 0.250 0.382
0.622 0.750 0.944
0.720 0.250 0.709
0.780 0.750 0.209
0.878 0.250 0.444
0.945 0.750 0.882
0.128 0.250 0.367
0.372 0.750 0.867
0.628 0.250 0.133
0.872 0.750 0.633
0.011 0.750 0.307
0.191 0.750 0.997
0.309 0.250 0.497
0.489 0.250 0.807
0.511 0.750 0.193
0.691 0.750 0.503
0.809 0.250 0.003
0.989 0.250 0.693
```

Values from the calculation:
As for the density of states at the Fermi level: 20.65 states/eV/cell. The calculation puts the total moment at 0.00 Bohr magnetons per cell. The calculation puts the energy of formation from the pure elements at -0.52 eV/atom.

=====

An optimized crystal structure of BeZn. Source: Alexandria via LeMat-Bulk, functional PBE.

Cell and atoms, written as POSCAR:
```
BeZn
1.0
-4.139 4.139 1.997
4.139 -4.139 1.997
4.139 4.139 -1.997
Be Zn
4 4
Direct
0.201 0.701 0.902
0.299 0.201 0.500
0.701 0.799 0.500
0.799 0.299 0.098
0.107 0.393 0.500
0.393 0.893 0.285
0.607 0.107 0.715
0.893 0.607 0.500
```

Values from the calculation:
As for the density of states at the Fermi level: 1.62 states/eV/cell. The calculation puts the total moment at 0.00 Bohr magnetons per cell. The calculation puts the energy of formation from the pure elements at 0.40 eV/atom.

=====

An optimized crystal structure of Ti4Ge2P. Source: Alexandria via LeMat-Bulk, functional PBE.

Cell and atoms, written as POSCAR:
```
Ti4Ge2P
1.0
-2.180 2.180 6.849
2.180 -2.180 6.849
2.180 2.180 -6.849
Ti Ge P
4 2 1
Direct
0.000 0.500 0.500
0.172 0.172 0.000
0.500 0.000 0.500
0.828 0.828 0.000
0.361 0.361 0.000
0.639 0.639 0.000
0.000 0.000 0.000
```

Values from the calculation:
As for the density of states at the Fermi level: 7.22 states/eV/cell. The calculation puts the total moment at 0.00 Bohr magnetons per cell. The calculation puts the energy of formation from the pure elements at -0.27 eV/atom.

=====

An optimized crystal structure of HfSbI2O. Source: Alexandria via LeMat-Bulk, functional PBE.

Cell and atoms, written as POSCAR:
```
HfSbI2O
1.0
5.503 0.000 0.000
0.000 5.503 0.000
0.000 0.000 5.691
Hf Sb I O
1 1 2 1
Direct
0.000 0.000 0.000
0.000 0.000 0.500
0.000 0.500 0.000
0.500 0.000 0.000
0.500 0.500 0.500
```

Values from the calculation:
As for the density of states at the Fermi level: 12.43 states/eV/cell. The calculation puts the uncorrected formation energy at 0.4799 eV/atom. The calculation puts the total moment at 0.00 Bohr magnetons per cell. The value obtained for the relative energy among the computed polymorphs is 1262 meV/atom.

=====

An optimized crystal structure of NaPmNdSn. Source: Alexandria via LeMat-Bulk, functional PBE.

Cell and atoms, written as POSCAR:
```
NaPmNdSn
1.0
0.000 3.869 3.869
3.869 0.000 3.869
3.869 3.869 0.000
Na Pm Nd Sn
1 1 1 1
Direct
0.000 0.000 0.000
0.750 0.750 0.750
0.250 0.250 0.250
0.500 0.500 0.500
```

Values from the calculation:
As for the density of states at the Fermi level: 3.05 states/eV/cell. The calculation puts the total moment at 0.00 Bohr magnetons per cell. The calculation puts the energy of formation from the pure elements at -0.34 eV/atom.

=====

An optimized crystal structure of HoCo3B3. Source: Alexandria via LeMat-Bulk, functional PBE.

Cell and atoms, written as POSCAR:
```
HoCo3B3
1.0
5.465 0.000 0.000
0.000 5.465 0.000
0.000 0.000 5.465
Ho Co B
2 6 6
Direct
0.000 0.000 0.000
0.500 0.500 0.500
0.000 0.250 0.500
0.000 0.750 0.500
0.250 0.500 0.000
0.500 0.000 0.250
0.500 0.000 0.750
0.750 0.500 0.000
0.000 0.500 0.250
0.000 0.500 0.750
0.250 0.000 0.500
0.500 0.250 0.000
0.500 0.750 0.000
0.750 0.000 0.500
```

Values from the calculation:
As for the density of states at the Fermi level: 5.38 states/eV/cell. The calculation puts the total moment at 0.00 Bohr magnetons per cell. The calculation puts the energy of formation from the pure elements at -0.19 eV/atom. The value obtained for the relative energy among the computed polymorphs is 0 meV/atom.

=====

An optimized crystal structure of TbGa3Pd4. Source: Alexandria via LeMat-Bulk, functional PBE.

Cell and atoms, written as POSCAR:
```
TbGa3Pd4
1.0
4.148 0.000 0.000
0.000 4.148 0.000
0.000 0.000 8.324
Tb Ga Pd
1 3 4
Direct
0.000 0.000 0.000
0.000 0.000 0.500
0.500 0.500 0.150
0.500 0.500 0.850
0.000 0.500 0.319
0.000 0.500 0.681
0.500 0.000 0.319
0.500 0.000 0.681
```

Values from the calculation:
As for the density of states at the Fermi level: 5.51 states/eV/cell. The calculation puts the total moment at 0.00 Bohr magnetons per cell. The calculation puts the energy of formation from the pure elements at -0.68 eV/atom.

=====

An optimized crystal structure of Sc3CdHg. Source: Alexandria via LeMat-Bulk, functional PBE.

Cell and atoms, written as POSCAR:
```
Sc3CdHg
1.0
5.275 0.000 0.000
0.000 5.275 0.000
0.000 0.000 5.275
Sc Cd Hg
3 1 1
Direct
0.000 0.000 0.500
0.000 0.500 0.000
0.500 0.000 0.000
0.000 0.000 0.000
0.500 0.500 0.500
```

Values from the calculation:
As for the density of states at the Fermi level: 9.07 states/eV/cell. The calculation puts the total moment at 0.92 Bohr magnetons per cell. The calculation puts the energy of formation from the pure elements at 0.48 eV/atom. The value obtained for the relative energy among the computed polymorphs is 748 meV/atom.

=====

An optimized crystal structure of CsTcMo. Source: Alexandria via LeMat-Bulk, functional PBE.

Cell and atoms, written as POSCAR:
```
CsTcMo
1.0
4.031 0.000 0.000
1.121 4.778 0.000
0.375 1.049 11.462
Cs Tc Mo
2 2 2
Direct
0.000 0.000 0.000
0.464 0.415 0.384
0.419 0.498 0.782
0.540 0.992 0.728
0.049 0.929 0.612
0.927 0.432 0.668
```

Values from the calculation:
As for the density of states at the Fermi level: 4.91 states/eV/cell. The calculation puts the total moment at 0.00 Bohr magnetons per cell. The calculation puts the energy of formation from the pure elements at 0.81 eV/atom. The value obtained for the relative energy among the computed polymorphs is 109 meV/atom.

=====

An optimized crystal structure of Ca3TeW. Source: Alexandria via LeMat-Bulk, functional PBE.

Cell and atoms, written as POSCAR:
```
Ca3TeW
1.0
5.456 0.000 0.000
0.000 5.456 0.000
0.000 0.000 5.456
Ca Te W
3 1 1
Direct
0.000 0.000 0.500
0.000 0.500 0.000
0.500 0.000 0.000
0.500 0.500 0.500
0.000 0.000 0.000
```

Values from the calculation:
As for the density of states at the Fermi level: 4.16 states/eV/cell. The calculation puts the uncorrected formation energy at 0.6173 eV/atom. The calculation puts the total moment at 0.00 Bohr magnetons per cell. The value obtained for the relative energy among the computed polymorphs is 0 meV/atom.

=====

An optimized crystal structure of ErP3Pd5. Source: Alexandria via LeMat-Bulk, functional PBE.

Cell and atoms, written as POSCAR:
```
ErP3Pd5
1.0
1.929 -6.770 0.000
1.929 6.770 0.000
0.000 0.000 11.689
Er P Pd
2 6 10
Direct
0.103 0.897 0.750
0.897 0.103 0.250
0.147 0.853 0.250
0.412 0.588 0.077
0.412 0.588 0.423
0.588 0.412 0.577
0.588 0.412 0.923
0.853 0.147 0.750
0.000 0.000 0.000
0.000 0.000 0.500
0.243 0.757 0.086
0.243 0.757 0.414
0.405 0.595 0.634
0.405 0.595 0.866
0.595 0.405 0.134
0.595 0.405 0.366
0.757 0.243 0.586
0.757 0.243 0.914
```

Values from the calculation:
As for the density of states at the Fermi level: 8.38 states/eV/cell. The calculation puts the total moment at 0.00 Bohr magnetons per cell. The calculation puts the energy of formation from the pure elements at -0.62 eV/atom.

=====

An optimized crystal structure of LaAgAs2. Source: Alexandria via LeMat-Bulk, functional PBE.

Cell and atoms, written as POSCAR:
```
LaAgAs2
1.0
0.000 3.566 3.566
3.566 0.000 3.566
3.566 3.566 0.000
La Ag As
1 1 2
Direct
0.000 0.000 0.000
0.500 0.500 0.500
0.250 0.250 0.250
0.750 0.750 0.750
```

Values from the calculation:
As for the density of states at the Fermi level: 5.53 states/eV/cell. The calculation puts the total moment at 0.00 Bohr magnetons per cell. The calculation puts the energy of formation from the pure elements at -0.49 eV/atom.